VASP calculation (PBE) on crystalline Th5C2Se5 at its relaxed geometry.

* spin magnetization: 0.0 μB per formula unit
* formation energy (no corrections): -1.288 eV per atom
* SG: C2/m
* energy: -88.43 eV/cell

a b c (Å): 3.984 7.098 11.366
angles (deg): 105.45 90.00 106.30
Fractional coordinates of all 12 atoms:
Th (0.347, 0.694, 0.204)
Se (0.759, 0.518, 0.363)
Se (0.331, 0.662, 0.935)
Se (0.241, 0.482, 0.637)
Se (0.669, 0.338, 0.065)
Th (0.903, 0.805, 0.626)
Th (0.097, 0.195, 0.374)
C (0.044, 0.089, 0.799)
Th (0.653, 0.306, 0.796)
Th (0.000, 0.000, 0.000)
Se (0.500, 0.000, 0.500)
C (0.956, 0.911, 0.201)